! PBE Tm3TeCCl, relaxed; values from VASP
&SYSTEM
  ibrav = 0, nat = 12, ntyp = 4
/
ATOMIC_SPECIES
Te 127.60 Te.upf
Cl 35.45 Cl.upf
C 12.01 C.upf
Tm 168.93 Tm.upf
CELL_PARAMETERS angstrom
-0.482 2.516 2.775
5.826 -3.625 4.299
6.051 6.114 -4.493
ATOMIC_POSITIONS angstrom
Te 1.779 1.240 0.469
Cl 7.138 1.314 3.904
C 7.025 5.833 -0.214
C 4.370 -0.827 2.795
Te 9.616 3.766 2.111
Tm 5.799 0.667 1.688
Tm 8.599 3.903 -0.760
Tm 6.107 5.331 -2.489
Cl 4.257 3.692 -1.324
Tm 2.796 1.103 3.341
Tm 5.288 -0.325 5.069
Tm 5.596 4.339 0.893
! Uncorrected formation energy = -1.038 eV/atom